DFT (GGA-PBE) results for an optimized crystal structure of RbZnSn3.

Distance to the lowest polymorph of the same formula, eV per formula unit: 0.00
Raw total energy, eV/atom: -2.987
Space-group type: Cmcm (63)
Calculated formation energy, eV per atom: -0.14

Unit cell a=6.8985 b=6.8985 c=7.0885 alpha=90.00 beta=90.00 gamma=117.20
With the nearest neighbours (Å) after each atom.
Fractional positions:
Rb (0.2419, 0.7581, 0.7500)  12 Sn 3.75-3.90, 4 Zn 3.84-3.86
Rb (0.7581, 0.2419, 0.2500)  12 Sn 3.75-3.90, 4 Zn 3.84-3.86
Zn (0.3720, 0.6280, 0.2500)  5 Sn 2.76-2.87
Zn (0.6280, 0.3720, 0.7500)  5 Sn 2.76-2.87
Sn (0.1375, 0.8625, 0.2500)  1 Zn 2.76, 4 Sn 3.07
Sn (0.2668, 0.2668, 0.0000)  2 Zn 2.87, 2 Sn 3.07
Sn (0.2668, 0.2668, 0.5000)  2 Zn 2.87, 2 Sn 3.07
Sn (0.7332, 0.7332, 0.0000)  2 Zn 2.87, 2 Sn 3.07
Sn (0.7332, 0.7332, 0.5000)  2 Zn 2.87, 2 Sn 3.07
Sn (0.8625, 0.1375, 0.7500)  1 Zn 2.76, 4 Sn 3.07